# Ta2TlZnCd

Ta2TlZnCd after structural relaxation (PBE, the Alexandria database).

Cell lengths 5.122, 5.122, 4.652 Å; angles 90.00, 90.00, 90.00 degrees
Element x y z (fractional)
1 Tl 0.500 0.500 0.500
2 Ta 0.000 0.500 0.000
3 Zn 0.000 0.000 0.500
4 Cd 0.000 0.000 0.000
5 Ta 0.500 0.000 0.000

The calculation puts the formation energy at 1.673 eV per atom. Its total magnetization is 0.00 μB per formula unit. As for the symmetry: P4/mmm (123). The value obtained for the total DFT energy (no corrections) is -3.979 eV/atom.

# HoUMn5

HoUMn5 after structural relaxation (PBE, the Alexandria database).

Cell lengths 5.215, 8.077, 10.216 Å; angles 90.00, 90.00, 90.00 degrees
Element x y z (fractional)
1 Mn 0.250 0.088 0.474
2 Mn 0.750 0.831 0.750
3 Mn 0.250 0.169 0.250
4 Mn 0.007 0.583 0.809
5 Mn 0.750 0.084 0.905
6 Ho 0.750 0.235 0.432
7 Mn 0.993 0.917 0.309
8 Mn 0.493 0.583 0.809
9 U 0.750 0.624 0.391
10 Mn 0.250 0.916 0.095
11 Ho 0.250 0.265 0.932
12 Mn 0.750 0.912 0.526
13 U 0.250 0.376 0.609
14 Mn 0.250 0.588 0.026
15 Mn 0.507 0.917 0.309
16 Ho 0.750 0.735 0.068
17 U 0.750 0.124 0.109
18 Mn 0.993 0.417 0.191
19 Mn 0.493 0.083 0.691
20 Mn 0.750 0.412 0.974
21 Mn 0.750 0.584 0.595
22 U 0.250 0.876 0.891
23 Mn 0.007 0.083 0.691
24 Ho 0.250 0.765 0.568
25 Mn 0.507 0.417 0.191
26 Mn 0.250 0.669 0.250
27 Mn 0.750 0.331 0.750
28 Mn 0.250 0.416 0.405

The calculation puts the formation energy at 0.051 eV per atom. Its total magnetization is 3.27 μB per formula unit. As for the symmetry: Pnma (62). The value obtained for the total DFT energy (no corrections) is -8.765 eV/atom.

Look up the total DFT energy (no corrections) of the second one. -8.765 eV/atom